Record 1
This record from the Open Quantum Materials Database describes a relaxed structure of DyTmGa2Fe4. The functional is PBE.

Structure (POSCAR):
```
DyTmGa2Fe4
1.0
-4.083 -0.022 0.892
2.694 -1.997 2.494
1.052 7.667 5.003
Ga Tm Dy Fe
2 1 1 4
Cartesian
-1.559 1.253 2.687
-1.037 5.054 5.168
0.526 3.834 2.502
0.435 -1.339 1.960
0.747 0.933 3.442
0.832 6.064 3.957
1.175 4.057 5.480
0.220 1.603 1.046
```

Output
* crystal system: hexagonal


Record 2
This record from the Open Quantum Materials Database describes a relaxed structure of GdDyCu2Te4. The functional is PBE.

Structure (POSCAR):
```
GdDyCu2Te4
1.0
4.889 -4.890 0.000
4.889 4.890 0.000
0.000 0.000 4.809
Dy Gd Te Cu
1 1 4 2
Cartesian
0.000 0.000 1.000
4.889 0.000 3.811
6.854 0.000 1.306
2.925 0.000 1.306
4.889 2.949 3.506
4.889 -2.949 3.506
2.445 2.445 4.804
2.445 -2.445 4.804
```

Output
* crystal system: orthorhombic


Record 3
This record from the Open Quantum Materials Database describes a relaxed structure of Nd2Sm2BCl5. The functional is PBE.

Structure (POSCAR):
```
Nd2Sm2BCl5
1.0
8.885 -1.981 0.000
8.885 1.981 0.000
-1.959 0.000 7.937
Nd Sm Cl B
2 2 5 1
Cartesian
-1.497 0.000 6.177
17.308 0.000 1.759
11.354 0.000 0.678
4.457 0.000 7.258
1.389 0.000 6.755
2.288 0.000 2.640
14.422 0.000 1.181
7.905 0.000 3.968
13.523 0.000 5.297
8.885 0.000 0.000
```

Output
* crystal system: monoclinic


Record 4
This record from the Open Quantum Materials Database describes a relaxed structure of Cu2SiMo. The functional is PBE.

Structure (POSCAR):
```
Cu2SiMo
1.0
0.000 2.965 2.965
2.965 0.000 2.965
2.965 2.965 0.000
Mo Cu Si
1 2 1
Cartesian
1.482 1.482 1.482
4.447 4.447 4.447
0.000 0.000 0.000
2.965 2.965 2.965
```

Output
* crystal system: cubic


Record 5
This record from the Open Quantum Materials Database describes a relaxed structure of CsPtAuSe2S. The functional is PBE.

Structure (POSCAR):
```
CsPtAuSe2S
1.0
1.955 -8.181 0.000
1.955 8.181 0.000
0.000 0.000 10.564
S Se Au Cs Pt
2 4 2 2 2
Cartesian
1.955 -7.657 7.923
1.955 7.657 2.641
1.955 -1.613 5.464
1.955 1.613 0.182
1.955 1.613 5.099
1.955 -1.613 10.381
1.955 -1.411 7.923
1.955 1.411 2.641
1.955 -3.729 2.641
1.955 3.729 7.923
0.000 0.000 0.000
0.000 0.000 5.282
```

Output
* crystal system: orthorhombic


Record 6
This record from the Open Quantum Materials Database describes a relaxed structure of SrHfAu2. The functional is PBE.

Structure (POSCAR):
```
SrHfAu2
1.0
-3.609 -2.641 2.002
-3.479 -1.949 -2.847
-0.165 -4.847 -0.696
Hf Au Sr
1 2 1
Cartesian
-1.813 -2.359 -0.385
-5.440 -7.078 -1.156
0.000 0.000 0.000
-3.627 -4.719 -0.771
```

Output
* crystal system: cubic


Record 7
This record from the Open Quantum Materials Database describes a relaxed structure of PrNdCBr. The functional is PBE.

Structure (POSCAR):
```
PrNdCBr
1.0
3.828 0.000 0.000
-1.914 3.315 0.000
0.000 0.000 14.977
Nd Pr C Br
2 2 2 2
Cartesian
0.000 2.210 2.356
0.000 2.210 12.621
0.000 0.000 9.864
0.000 0.000 5.113
1.914 1.105 3.706
1.914 1.105 11.272
0.000 2.210 7.489
0.000 0.000 0.000
```

Output
* crystal system: hexagonal


Record 8
This record from the Open Quantum Materials Database describes a relaxed structure of Er2N. The functional is PBE.

Structure (POSCAR):
```
Er2N
1.0
1.997 -2.905 -2.243
1.930 -3.166 1.927
-1.557 -3.868 -0.267
Er N
2 1
Cartesian
0.592 -2.485 -0.146
1.777 -7.455 -0.437
0.000 0.000 0.000
```

Output
* crystal system: cubic


Computed total DFT energy (no corrections), in the same sequence as the records: -6.22, -4.47, -5.15, -5.81, -3.86, -4.55, -5.99, -6.12 eV per atom.